DFT (PBE-GGA) results for a relaxed NdYPS crystal.

Unit cell a=4.039 b=4.039 c=7.046 alpha=73.34 beta=73.34 gamma=60.00
Positions (direct):
Nd 0.997 0.997 0.009
Y 0.503 0.503 0.491
P 0.246 0.246 0.261
S 0.754 0.754 0.739

## Properties
Formation energy (no corrections), eV/atom: -1.860
Volume, Å³ per atom: 23.485
Crystal system: trigonal
Raw total energy, eV/atom: -7.052
Theoretical density, g cm⁻³: 5.2

***

DFT (PBE-GGA) results for a relaxed RbBAsS4 crystal.

Unit cell a=5.727 b=7.140 c=8.897 alpha=90.00 beta=106.71 gamma=90.00
Positions (direct):
Rb 0.697 0.750 0.900
Rb 0.303 0.250 0.100
B 0.147 0.750 0.321
B 0.853 0.250 0.679
As 0.680 0.750 0.365
As 0.320 0.250 0.635
S 0.068 0.466 0.715
S 0.932 0.966 0.285
S 0.932 0.534 0.285
S 0.068 0.034 0.715
S 0.328 0.750 0.165
S 0.672 0.250 0.835
S 0.389 0.750 0.521
S 0.611 0.250 0.479

## Properties
Formation energy (no corrections), eV/atom: -0.397
Volume, Å³ per atom: 24.884
Crystal system: monoclinic
Raw total energy, eV/atom: -4.512
Theoretical density, g cm⁻³: 2.9

***

DFT (PBE-GGA) results for a relaxed NdY2Rh4 crystal.

Unit cell a=4.726 b=4.726 c=6.752 alpha=90.00 beta=90.00 gamma=90.00
Positions (direct):
Nd 0.500 0.500 0.000
Y 0.000 0.000 0.000
Y 0.500 0.500 0.500
Rh 0.500 0.000 0.259
Rh 0.000 0.500 0.741
Rh 0.500 0.000 0.741
Rh 0.000 0.500 0.259

## Properties
Volume, Å³ per atom: 21.548
Energy of formation from the pure elements, meV per atom: -347
Crystal system: tetragonal
Raw total energy, eV/atom: -7.076
Theoretical density, g cm⁻³: 8.1

***

DFT (PBE-GGA) results for a relaxed ZnTcSCl2 crystal.

Unit cell a=4.937 b=4.509 c=4.937 alpha=90.00 beta=90.00 gamma=90.00
Positions (direct):
S 0.000 0.500 0.000
Zn 0.500 0.500 0.500
Tc 0.000 0.000 0.000
Cl 0.000 0.000 0.500
Cl 0.500 0.000 0.000

## Properties
Formation energy (no corrections), eV/atom: -0.007
Energy above the lowest structure with this stoichiometry, eV/atom: 0.0000
Volume, Å³ per atom: 21.976
Crystal system: tetragonal
Raw total energy, eV/atom: -3.899
Theoretical density, g cm⁻³: 4.0